Entry 1:
# RbSnHg4

RbSnHg4 after structural relaxation (PBE, the Alexandria database).

- Total DFT energy (no corrections): -1.17 eV/atom
- DOS at the Fermi energy: 7.25 states/eV per cell

```
data_RbSnHg4
_chemical_formula_sum 'Rb4 Sn4 Hg16'
_cell_length_a 17.705
_cell_length_b 7.353
_cell_length_c 6.081
_cell_angle_alpha 90.00
_cell_angle_beta 104.43
_cell_angle_gamma 90.00
_space_group_name_H-M_alt 'C 1 2/m 1'
_space_group_IT_number 12
_space_group_name_Hall '-C 2y'
loop_
_atom_site_label
_atom_site_type_symbol
_atom_site_fract_x
_atom_site_fract_y
_atom_site_fract_z
Rb1 Rb 0.120 0.000 0.099
Sn1 Sn 0.039 0.500 0.245
Hg1 Hg 0.000 0.192 0.500
Hg2 Hg 0.181 0.284 0.651
Hg3 Hg 0.193 0.500 0.123
```

***

Entry 2:
# Hf2ZnHPd

Hf2ZnHPd after structural relaxation (PBE, the Alexandria database).

- Total DFT energy (no corrections): -6.25 eV/atom
- DOS at the Fermi energy: 4.41 states/eV per cell

```
data_Hf2ZnHPd
_chemical_formula_sum 'Hf2 Zn1 H1 Pd1'
_cell_length_a 4.278
_cell_length_b 4.278
_cell_length_c 4.045
_cell_angle_alpha 90.00
_cell_angle_beta 90.00
_cell_angle_gamma 90.00
_space_group_name_H-M_alt 'P 4/m m m'
_space_group_IT_number 123
_space_group_name_Hall '-P 4 2'
loop_
_atom_site_label
_atom_site_type_symbol
_atom_site_fract_x
_atom_site_fract_y
_atom_site_fract_z
Hf1 Hf 0.000 0.500 0.000
Zn1 Zn 0.000 0.000 0.500
H1 H 0.000 0.000 0.000
Pd1 Pd 0.500 0.500 0.500
```

***

Entry 3:
# RbH2Ru

RbH2Ru after structural relaxation (PBE, the Alexandria database).

- Total DFT energy (no corrections): -2.79 eV/atom
- DOS at the Fermi energy: 15.84 states/eV per cell

```
data_RbH2Ru
_chemical_formula_sum 'Rb4 H8 Ru4'
_cell_length_a 6.088
_cell_length_b 6.088
_cell_length_c 6.088
_cell_angle_alpha 90.00
_cell_angle_beta 90.00
_cell_angle_gamma 90.00
_space_group_name_H-M_alt 'F m -3 m'
_space_group_IT_number 225
_space_group_name_Hall '-F 4 2 3'
loop_
_atom_site_label
_atom_site_type_symbol
_atom_site_fract_x
_atom_site_fract_y
_atom_site_fract_z
Rb1 Rb 0.000 0.000 0.000
H1 H 0.250 0.250 0.250
Ru1 Ru 0.000 0.000 0.500
```

***

Entry 4:
# KCaMg

KCaMg after structural relaxation (PBE, the Alexandria database).

- Total DFT energy (no corrections): -1.38 eV/atom
- DOS at the Fermi energy: 3.05 states/eV per cell

```
data_KCaMg
_chemical_formula_sum 'K1 Ca1 Mg1'
_cell_length_a 3.8939
_cell_length_b 3.8939
_cell_length_c 9.5629
_cell_angle_alpha 90.00
_cell_angle_beta 90.00
_cell_angle_gamma 120.00
_space_group_name_H-M_alt 'P 3 m 1'
_space_group_IT_number 156
_space_group_name_Hall 'P 3 -2"'
loop_
_atom_site_label
_atom_site_type_symbol
_atom_site_fract_x
_atom_site_fract_y
_atom_site_fract_z
K1 K 0.0000 0.0000 0.0000
Ca1 Ca 0.3333 0.6667 0.6109
Mg1 Mg 0.6667 0.3333 0.3333
```

***

Entry 5:
# Y2TcPt

Y2TcPt after structural relaxation (PBE, the Alexandria database).

- Total DFT energy (no corrections): -7.88 eV/atom
- DOS at the Fermi energy: 4.73 states/eV per cell

```
data_Y2TcPt
_chemical_formula_sum 'Y2 Tc1 Pt1'
_cell_length_a 3.514
_cell_length_b 3.514
_cell_length_c 6.749
_cell_angle_alpha 90.00
_cell_angle_beta 90.00
_cell_angle_gamma 90.00
_space_group_name_H-M_alt 'P 4/m m m'
_space_group_IT_number 123
_space_group_name_Hall '-P 4 2'
loop_
_atom_site_label
_atom_site_type_symbol
_atom_site_fract_x
_atom_site_fract_y
_atom_site_fract_z
Y1 Y 0.000 0.000 0.247
Tc1 Tc 0.500 0.500 0.000
Pt1 Pt 0.500 0.500 0.500
```

***

Entry 6:
# CdPbBr4

CdPbBr4 after structural relaxation (PBE, the Alexandria database).

- Uncorrected formation energy: -0.8735 eV per atom
- DOS at the Fermi energy: 0.00 states/eV per cell

```
data_CdPbBr4
_chemical_formula_sum 'Cd2 Pb2 Br8'
_cell_length_a 15.540
_cell_length_b 4.235
_cell_length_c 7.486
_cell_angle_alpha 90.00
_cell_angle_beta 118.63
_cell_angle_gamma 90.00
_space_group_name_H-M_alt 'C 1 2/m 1'
_space_group_IT_number 12
_space_group_name_Hall '-C 2y'
loop_
_atom_site_label
_atom_site_type_symbol
_atom_site_fract_x
_atom_site_fract_y
_atom_site_fract_z
Cd1 Cd 0.000 0.000 0.000
Pb1 Pb 0.000 0.500 0.500
Br1 Br 0.116 0.500 0.263
Br2 Br 0.121 0.000 0.815
```

***

Entry 7:
# AlBiP3

AlBiP3 after structural relaxation (PBE, the Alexandria database).

- Total DFT energy (no corrections): -3.37 eV/atom
- DOS at the Fermi energy: 5.82 states/eV per cell

```
data_AlBiP3
_chemical_formula_sum 'Al1 Bi1 P3'
_cell_length_a 5.254
_cell_length_b 5.254
_cell_length_c 5.254
_cell_angle_alpha 90.00
_cell_angle_beta 90.00
_cell_angle_gamma 90.00
_space_group_name_H-M_alt 'P m -3 m'
_space_group_IT_number 221
_space_group_name_Hall '-P 4 2 3'
loop_
_atom_site_label
_atom_site_type_symbol
_atom_site_fract_x
_atom_site_fract_y
_atom_site_fract_z
Al1 Al 0.000 0.000 0.000
Bi1 Bi 0.500 0.500 0.500
P1 P 0.000 0.500 0.500
```

***

Entry 8:
# AcZnBiIr

AcZnBiIr after structural relaxation (PBE, the Alexandria database).

- Total DFT energy (no corrections): -4.70 eV/atom
- DOS at the Fermi energy: 15.12 states/eV per cell

```
data_AcZnBiIr
_chemical_formula_sum 'Ac4 Zn4 Bi4 Ir4'
_cell_length_a 7.275
_cell_length_b 7.275
_cell_length_c 7.275
_cell_angle_alpha 90.00
_cell_angle_beta 90.00
_cell_angle_gamma 90.00
_space_group_name_H-M_alt 'F -4 3 m'
_space_group_IT_number 216
_space_group_name_Hall 'F -4 2 3'
loop_
_atom_site_label
_atom_site_type_symbol
_atom_site_fract_x
_atom_site_fract_y
_atom_site_fract_z
Ac1 Ac 0.000 0.000 0.000
Zn1 Zn 0.250 0.250 0.750
Bi1 Bi 0.000 0.000 0.500
Ir1 Ir 0.250 0.250 0.250
```

***

Entry 9:
# Ta2Nb5Cr

Ta2Nb5Cr after structural relaxation (PBE, the Alexandria database).

- Total DFT energy (no corrections): -10.44 eV/atom
- DOS at the Fermi energy: 23.73 states/eV per cell

```
data_Ta2Nb5Cr
_chemical_formula_sum 'Ta4 Nb10 Cr2'
_cell_length_a 6.551
_cell_length_b 13.104
_cell_length_c 3.257
_cell_angle_alpha 90.00
_cell_angle_beta 90.00
_cell_angle_gamma 90.00
_space_group_name_H-M_alt 'P b a m'
_space_group_IT_number 55
_space_group_name_Hall '-P 2 2ab'
loop_
_atom_site_label
_atom_site_type_symbol
_atom_site_fract_x
_atom_site_fract_y
_atom_site_fract_z
Ta1 Ta 0.229 0.119 0.000
Nb1 Nb 0.000 0.500 0.500
Nb2 Nb 0.015 0.749 0.500
Nb3 Nb 0.248 0.378 0.000
Cr1 Cr 0.000 0.000 0.500
```

***

Entry 10:
# Zn3FePd12

Zn3FePd12 after structural relaxation (PBE, the Alexandria database).

- Total DFT energy (no corrections): -4.91 eV/atom
- DOS at the Fermi energy: 21.57 states/eV per cell

```
data_Zn3FePd12
_chemical_formula_sum 'Zn3 Fe1 Pd12'
_cell_length_a 3.911
_cell_length_b 3.911
_cell_length_c 15.607
_cell_angle_alpha 90.00
_cell_angle_beta 90.00
_cell_angle_gamma 90.00
_space_group_name_H-M_alt 'P 4/m m m'
_space_group_IT_number 123
_space_group_name_Hall '-P 4 2'
loop_
_atom_site_label
_atom_site_type_symbol
_atom_site_fract_x
_atom_site_fract_y
_atom_site_fract_z
Zn1 Zn 0.000 0.000 0.000
Zn2 Zn 0.000 0.000 0.250
Fe1 Fe 0.000 0.000 0.500
Pd1 Pd 0.000 0.500 0.126
Pd2 Pd 0.000 0.500 0.378
Pd3 Pd 0.500 0.500 0.000
Pd4 Pd 0.500 0.500 0.252
Pd5 Pd 0.500 0.500 0.500
```

***

Entry 11:
# PmNd5Y5

PmNd5Y5 after structural relaxation (PBE, the Alexandria database).

- Total DFT energy (no corrections): -5.28 eV/atom
- DOS at the Fermi energy: 39.25 states/eV per cell

```
data_PmNd5Y5
_chemical_formula_sum 'Pm2 Nd10 Y10'
_cell_length_a 18.718
_cell_length_b 6.106
_cell_length_c 7.025
_cell_angle_alpha 90.00
_cell_angle_beta 108.25
_cell_angle_gamma 90.00
_space_group_name_H-M_alt 'C 1 2/m 1'
_space_group_IT_number 12
_space_group_name_Hall '-C 2y'
loop_
_atom_site_label
_atom_site_type_symbol
_atom_site_fract_x
_atom_site_fract_y
_atom_site_fract_z
Pm1 Pm 0.000 0.000 0.000
Nd1 Nd 0.000 0.000 0.500
Nd2 Nd 0.126 0.500 0.648
Nd3 Nd 0.172 0.500 0.192
Y1 Y 0.000 0.500 0.000
Y2 Y 0.174 0.000 0.921
Y3 Y 0.179 0.000 0.417
```

***

Entry 12:
# Pm5ScSe6

Pm5ScSe6 after structural relaxation (PBE, the Alexandria database).

- Uncorrected formation energy: -1.7816 eV per atom
- DOS at the Fermi energy: 11.84 states/eV per cell

```
data_Pm5ScSe6
_chemical_formula_sum 'Pm10 Sc2 Se12'
_cell_length_a 7.165
_cell_length_b 12.451
_cell_length_c 7.194
_cell_angle_alpha 90.00
_cell_angle_beta 109.49
_cell_angle_gamma 90.00
_space_group_name_H-M_alt 'C 1 2/m 1'
_space_group_IT_number 12
_space_group_name_Hall '-C 2y'
loop_
_atom_site_label
_atom_site_type_symbol
_atom_site_fract_x
_atom_site_fract_y
_atom_site_fract_z
Pm1 Pm 0.000 0.000 0.000
Pm2 Pm 0.000 0.166 0.500
Pm3 Pm 0.000 0.325 0.000
Sc1 Sc 0.000 0.500 0.500
Se1 Se 0.235 0.500 0.254
Se2 Se 0.238 0.341 0.738
```